No. 1
A relaxed structure of Tm2TcO8, computed with PBE.

Results
ΔE_f (raw) (eV per atom): -1.58

Cell: 7.1157 8.0828 5.9464 Å, 90.00 122.24 90.00°
Space group C2/m (No. 12)
Asymmetric unit:
Tm 0.0000 0.2025 0.0000 [4 per cell]
Tc 0.0000 0.5000 0.5000 [2 per cell]
O 0.0000 0.2787 0.5000 [4 per cell]
O 0.1795 0.0000 0.2949 [4 per cell]
O 0.2271 0.4106 0.0602 [8 per cell]



No. 2
A relaxed structure of Tm12Tc3O5, computed with PBE.

Results
ΔE_f (raw) (eV per atom): -1.48

Cell: 14.9228 14.9228 14.9228 Å, 90.00 90.00 90.00°
Space group Ia-3d (No. 230)
Asymmetric unit:
Tm 0.0309 0.0543 0.6523 [96 per cell]
Tc 0.0000 0.2500 0.1250 [24 per cell]
O 0.0000 0.0000 0.0000 [16 per cell]
O 0.0000 0.2500 0.3750 [24 per cell]



No. 3
A relaxed structure of Tm2TcO6, computed with PBE.

Results
ΔE_f (raw) (eV per atom): -2.56

Cell: 4.9344 4.9344 9.8432 Å, 90.00 90.00 90.00°
Space group P4_2/mnm (No. 136)
Asymmetric unit:
Tm 0.0000 0.0000 0.1712 [4 per cell]
Tc 0.0000 0.0000 0.5000 [2 per cell]
O 0.1882 0.1882 0.3512 [8 per cell]
O 0.2274 0.2274 0.0000 [4 per cell]